No. 1
An optimized crystal structure of LiAcTlSn, computed with GGA-PBE.

Excess energy over the best structure of this formula in the dataset ... 0.096 eV/atom
Space group ... F-43m (216)
Calculated formation energy ... -0.371 eV/atom
Uncorrected energy ... -13.874 eV per formula unit
ρ ... 7.83 g/cm³

abc: 5.5068 5.5068 5.5068
angles: 60.00 60.00 60.00
Fractional coordinates of all 4 atoms:
Li1 0.0000 0.0000 0.0000
Ac1 0.5000 0.5000 0.5000
Tl1 0.2500 0.2500 0.2500
Sn1 0.7500 0.7500 0.7500

---

No. 2
An optimized crystal structure of LiAcTmSn2, computed with GGA-PBE.

Space group ... I-4m2 (119)
Calculated formation energy ... -0.559 eV/atom
Uncorrected energy ... -21.292 eV per formula unit
ρ ... 7.25 g/cm³

abc: 7.3264 7.3264 7.3264
angles: 142.20 142.20 54.53
Fractional coordinates of all 5 atoms:
Li1 0.0000 0.0000 0.0000
Ac1 0.7500 0.2500 0.5000
Tm1 0.5000 0.5000 0.0000
Sn1 0.1378 0.6378 0.5000
Sn2 0.3622 0.8622 0.5000

---

No. 3
An optimized crystal structure of Li3Ac2TmSn4, computed with GGA-PBE.

Space group ... P-4m2 (115)
Calculated formation energy ... -0.607 eV/atom
Uncorrected energy ... -40.511 eV per formula unit
ρ ... 6.92 g/cm³

abc: 4.7172 4.7172 12.0543
angles: 90.00 90.00 90.00
Fractional coordinates of all 10 atoms:
Li1 0.0000 0.0000 0.0000
Li2 0.0000 0.5000 0.6243
Li3 0.5000 0.0000 0.3757
Ac1 0.0000 0.5000 0.2695
Ac2 0.5000 0.0000 0.7305
Tm1 0.5000 0.5000 0.0000
Sn1 0.0000 0.0000 0.5000
Sn2 0.0000 0.5000 0.8477
Sn3 0.5000 0.0000 0.1523
Sn4 0.5000 0.5000 0.5000

---

No. 4
An optimized crystal structure of Li2AcTm2Sn2, computed with GGA-PBE.

Space group ... R-3m (166)
Calculated formation energy ... -0.456 eV/atom
Uncorrected energy ... -28.078 eV per formula unit
ρ ... 7.20 g/cm³

abc: 9.6155 9.6155 9.6155
angles: 29.29 29.29 29.29
Fractional coordinates of all 7 atoms:
Li1 0.0771 0.0771 0.0771
Li2 0.9229 0.9229 0.9229
Ac1 0.5000 0.5000 0.5000
Tm1 0.3672 0.3672 0.3672
Tm2 0.6328 0.6328 0.6328
Sn1 0.2464 0.2464 0.2464
Sn2 0.7536 0.7536 0.7536

---

No. 5
An optimized crystal structure of Li3Ac2YSn4, computed with GGA-PBE.

Space group ... P-4m2 (115)
Calculated formation energy ... -0.614 eV/atom
Uncorrected energy ... -42.569 eV per formula unit
ρ ... 6.36 g/cm³

abc: 4.7216 4.7216 12.1611
angles: 90.00 90.00 90.00
Fractional coordinates of all 10 atoms:
Li1 0.0000 0.0000 0.0000
Li2 0.0000 0.5000 0.6232
Li3 0.5000 0.0000 0.3768
Ac1 0.0000 0.5000 0.2722
Ac2 0.5000 0.0000 0.7278
Y1 0.5000 0.5000 0.0000
Sn1 0.0000 0.0000 0.5000
Sn2 0.0000 0.5000 0.8449
Sn3 0.5000 0.0000 0.1551
Sn4 0.5000 0.5000 0.5000

---

No. 6
An optimized crystal structure of Li2AcYSn2, computed with GGA-PBE.

Space group ... P-3m1 (164)
Calculated formation energy ... -0.665 eV/atom
Uncorrected energy ... -26.396 eV per formula unit
ρ ... 5.96 g/cm³

abc: 4.7985 4.7985 7.9186
angles: 90.00 90.00 120.00
Fractional coordinates of all 6 atoms:
Li1 0.3333 0.6667 0.1864
Li2 0.6667 0.3333 0.8136
Ac1 0.0000 0.0000 0.5000
Y1 0.0000 0.0000 0.0000
Sn1 0.3333 0.6667 0.7756
Sn2 0.6667 0.3333 0.2244

---

No. 7
An optimized crystal structure of LiAc2ZnSn6, computed with GGA-PBE.

Space group ... Pmmn (59)
Calculated formation energy ... -0.332 eV/atom
Uncorrected energy ... -38.742 eV per formula unit
ρ ... 7.35 g/cm³

abc: 7.7765 9.9250 7.2517
angles: 90.00 90.00 90.00
Fractional coordinates of all 20 atoms:
Li1 0.2500 0.2500 0.0945
Li2 0.7500 0.7500 0.9055
Ac1 0.2500 0.0034 0.7352
Ac2 0.2500 0.4966 0.7352
Ac3 0.7500 0.5034 0.2648
Ac4 0.7500 0.9966 0.2648
Zn1 0.2500 0.7500 0.4104
Zn2 0.7500 0.2500 0.5896
Sn1 0.0527 0.2500 0.4222
Sn2 0.0536 0.7500 0.0491
Sn3 0.2500 0.5045 0.2319
Sn4 0.2500 0.9955 0.2319
Sn5 0.4464 0.7500 0.0491
Sn6 0.4473 0.2500 0.4222
Sn7 0.5527 0.7500 0.5778
Sn8 0.5536 0.2500 0.9509
Sn9 0.7500 0.0045 0.7681
Sn10 0.7500 0.4955 0.7681
Sn11 0.9464 0.2500 0.9509
Sn12 0.9473 0.7500 0.5778

---

No. 8
An optimized crystal structure of LiAc2Zn4Sn3, computed with GGA-PBE.

Space group ... P-4m2 (115)
Calculated formation energy ... -0.408 eV/atom
Uncorrected energy ... -31.315 eV per formula unit
ρ ... 7.47 g/cm³

abc: 4.6000 4.6000 11.3397
angles: 90.00 90.00 90.00
Fractional coordinates of all 10 atoms:
Li1 0.0000 0.0000 0.0000
Ac1 0.0000 0.5000 0.7462
Ac2 0.5000 0.0000 0.2538
Zn1 0.0000 0.0000 0.5000
Zn2 0.0000 0.5000 0.1285
Zn3 0.5000 0.0000 0.8715
Zn4 0.5000 0.5000 0.5000
Sn1 0.0000 0.5000 0.3650
Sn2 0.5000 0.0000 0.6350
Sn3 0.5000 0.5000 0.0000

---

No. 9
An optimized crystal structure of LiAcZnSn2, computed with GGA-PBE.

Space group ... I-4m2 (119)
Calculated formation energy ... -0.495 eV/atom
Uncorrected energy ... -17.775 eV per formula unit
ρ ... 7.09 g/cm³

abc: 6.6934 6.6934 6.6934
angles: 139.40 139.40 58.76
Fractional coordinates of all 5 atoms:
Li1 0.0000 0.0000 0.0000
Ac1 0.7500 0.2500 0.5000
Zn1 0.5000 0.5000 0.0000
Sn1 0.1260 0.6260 0.5000
Sn2 0.3740 0.8740 0.5000

---

No. 10
An optimized crystal structure of Li3Ac2ZnSn4, computed with GGA-PBE.

Space group ... P-4m2 (115)
Calculated formation energy ... -0.569 eV/atom
Uncorrected energy ... -36.934 eV per formula unit
ρ ... 6.89 g/cm³

abc: 4.6596 4.6596 11.2736
angles: 90.00 90.00 90.00
Fractional coordinates of all 10 atoms:
Li1 0.0000 0.0000 0.0000
Li2 0.0000 0.5000 0.6315
Li3 0.5000 0.0000 0.3685
Ac1 0.0000 0.5000 0.2462
Ac2 0.5000 0.0000 0.7538
Zn1 0.5000 0.5000 0.0000
Sn1 0.0000 0.0000 0.5000
Sn2 0.0000 0.5000 0.8670
Sn3 0.5000 0.0000 0.1330
Sn4 0.5000 0.5000 0.5000

---

No. 11
An optimized crystal structure of LiAc2Zn3Sn4, computed with GGA-PBE.

Space group ... P-4m2 (115)
Calculated formation energy ... -0.458 eV/atom
Uncorrected energy ... -34.547 eV per formula unit
ρ ... 7.51 g/cm³

abc: 4.7308 4.7308 11.1805
angles: 90.00 90.00 90.00
Fractional coordinates of all 10 atoms:
Li1 0.0000 0.0000 0.0000
Ac1 0.0000 0.5000 0.7509
Ac2 0.5000 0.0000 0.2491
Zn1 0.0000 0.5000 0.3661
Zn2 0.5000 0.0000 0.6339
Zn3 0.5000 0.5000 0.0000
Sn1 0.0000 0.0000 0.5000
Sn2 0.0000 0.5000 0.1312
Sn3 0.5000 0.0000 0.8688
Sn4 0.5000 0.5000 0.5000

---

No. 12
An optimized crystal structure of LiAcZnSn, computed with GGA-PBE.

Space group ... F-43m (216)
Calculated formation energy ... -0.364 eV/atom
Uncorrected energy ... -12.755 eV per formula unit
ρ ... 6.37 g/cm³

abc: 5.3624 5.3624 5.3624
angles: 60.00 60.00 60.00
Fractional coordinates of all 4 atoms:
Li1 0.0000 0.0000 0.0000
Ac1 0.5000 0.5000 0.5000
Zn1 0.2500 0.2500 0.2500
Sn1 0.7500 0.7500 0.7500

---

No. 13
An optimized crystal structure of Sr2LiAc2, computed with GGA-PBE.

Space group ... I4/mmm (139)
Calculated formation energy ... 0.039 eV/atom
Uncorrected energy ... -13.302 eV per formula unit
ρ ... 4.84 g/cm³

abc: 13.3056 13.3056 13.3056
angles: 162.27 162.27 25.18
Fractional coordinates of all 5 atoms:
Sr1 0.0838 0.0838 0.0000
Sr2 0.9162 0.9162 0.0000
Li1 0.5000 0.5000 0.0000
Ac1 0.2999 0.2999 0.0000
Ac2 0.7001 0.7001 0.0000

---

No. 14
An optimized crystal structure of SrLiAc2, computed with GGA-PBE.

Excess energy over the best structure of this formula in the dataset ... 0.136 eV/atom
Space group ... R-3m (166)
Calculated formation energy ... 0.237 eV/atom
Uncorrected energy ... -10.866 eV per formula unit
ρ ... 5.35 g/cm³

abc: 13.3315 13.3315 13.3315
angles: 16.69 16.69 16.69
Fractional coordinates of all 4 atoms:
Sr1 0.0000 0.0000 0.0000
Li1 0.5000 0.5000 0.5000
Ac1 0.0964 0.0964 0.0964
Ac2 0.9036 0.9036 0.9036

---

No. 15
An optimized crystal structure of SrLiAc2, computed with GGA-PBE.

Excess energy over the best structure of this formula in the dataset ... 0.000 eV/atom
Space group ... P4/mmm (123)
Calculated formation energy ... 0.101 eV/atom
Uncorrected energy ... -11.409 eV per formula unit
ρ ... 5.56 g/cm³

abc: 4.0784 4.0784 9.8561
angles: 90.00 90.00 90.00
Fractional coordinates of all 4 atoms:
Sr1 0.0000 0.0000 0.0000
Li1 0.0000 0.0000 0.5000
Ac1 0.5000 0.5000 0.3073
Ac2 0.5000 0.5000 0.6927

---

No. 16
An optimized crystal structure of SrLiAc, computed with GGA-PBE.

Excess energy over the best structure of this formula in the dataset ... 0.075 eV/atom
Space group ... P3m1 (156)
Calculated formation energy ... 0.166 eV/atom
Uncorrected energy ... -7.205 eV per formula unit
ρ ... 4.33 g/cm³

abc: 6.0653 6.0653 3.8729
angles: 90.00 90.00 120.00
Fractional coordinates of all 3 atoms:
Sr1 0.0000 0.0000 0.0000
Li1 0.6667 0.3333 0.0962
Ac1 0.3333 0.6667 0.5315

---

No. 17
An optimized crystal structure of SrLiAc, computed with GGA-PBE.

Excess energy over the best structure of this formula in the dataset ... 0.000 eV/atom
Space group ... I4mm (107)
Calculated formation energy ... 0.091 eV/atom
Uncorrected energy ... -7.431 eV per formula unit
ρ ... 4.50 g/cm³

abc: 7.6212 7.6212 7.6212
angles: 148.77 148.77 44.75
Fractional coordinates of all 3 atoms:
Sr1 0.0000 0.0000 0.0000
Li1 0.6457 0.6457 0.0000
Ac1 0.2895 0.2895 0.0000

---

No. 18
An optimized crystal structure of SrLiAc2, computed with GGA-PBE.

Excess energy over the best structure of this formula in the dataset ... 0.091 eV/atom
Space group ... P4/mmm (123)
Calculated formation energy ... 0.192 eV/atom
Uncorrected energy ... -11.045 eV per formula unit
ρ ... 5.35 g/cm³

abc: 5.3252 5.3252 6.0054
angles: 90.00 90.00 90.00
Fractional coordinates of all 4 atoms:
Sr1 0.0000 0.0000 0.0000
Li1 0.5000 0.5000 0.0000
Ac1 0.0000 0.5000 0.5000
Ac2 0.5000 0.0000 0.5000

---

No. 19
An optimized crystal structure of SrLiAc, computed with GGA-PBE.

Excess energy over the best structure of this formula in the dataset ... 0.005 eV/atom
Space group ... C2/m (12)
Calculated formation energy ... 0.096 eV/atom
Uncorrected energy ... -7.415 eV per formula unit
ρ ... 4.44 g/cm³

abc: 6.7683 6.7683 8.4158
angles: 126.85 126.85 59.78
Fractional coordinates of all 6 atoms:
Sr1 0.1580 0.1580 0.3172
Sr2 0.8420 0.8420 0.6828
Li1 0.2527 0.7473 0.5000
Li2 0.7473 0.2527 0.5000
Ac1 0.3314 0.3314 0.9983
Ac2 0.6686 0.6686 0.0017

---

No. 20
An optimized crystal structure of SrLiAc4, computed with GGA-PBE.

Space group ... F-43m (216)
Calculated formation energy ... 0.332 eV/atom
Uncorrected energy ... -18.039 eV per formula unit
ρ ... 5.65 g/cm³

abc: 7.4708 7.4708 7.4708
angles: 60.00 60.00 60.00
Fractional coordinates of all 6 atoms:
Sr1 0.0000 0.0000 0.0000
Li1 0.7500 0.7500 0.7500
Ac1 0.3750 0.3750 0.3750
Ac2 0.3750 0.3750 0.8750
Ac3 0.3750 0.8750 0.3750
Ac4 0.8750 0.3750 0.3750